# NaCuTeI2

A geometry-optimized NaCuTeI2 structure (PBE-GGA, the Alexandria database).

Unit cell a=5.7378 b=5.7378 c=5.6001 alpha=90.00 beta=90.00 gamma=90.00
Fractional coordinates of all 5 atoms:
I: 0.0000 0.5000 0.0000
I: 0.5000 0.0000 0.0000
Na: 0.0000 0.0000 0.0000
Te: 0.0000 0.0000 0.5000
Cu: 0.5000 0.5000 0.5000

Values from the calculation:
Energy relative to the elements, uncorrected: 0.538 eV per atom
Space-group type: P4/mmm (123)
Offset from the most stable computed form: 732 meV per atom

---

# NaCuTe2I

A geometry-optimized NaCuTe2I structure (PBE-GGA, the Alexandria database).

Unit cell a=4.9555 b=4.9555 c=7.8672 alpha=90.00 beta=90.00 gamma=90.00
Fractional coordinates of all 5 atoms:
I: 0.0000 0.0000 0.5000
Na: 0.5000 0.5000 0.5000
Te: 0.0000 0.5000 0.0000
Te: 0.5000 0.0000 0.0000
Cu: 0.0000 0.0000 0.0000

Values from the calculation:
Energy relative to the elements, uncorrected: -0.108 eV per atom
Space-group type: P4/mmm (123)
Offset from the most stable computed form: 0 meV per atom

---

# NaTlCuI4

A geometry-optimized NaTlCuI4 structure (PBE-GGA, the Alexandria database).

Unit cell a=8.1720 b=6.8950 c=9.6514 alpha=90.00 beta=106.26 gamma=90.00
Fractional coordinates of all 14 atoms:
Na: 0.7084 0.7500 0.4290
Na: 0.2916 0.2500 0.5710
Tl: 0.7151 0.7500 0.9290
Tl: 0.2849 0.2500 0.0710
Cu: 0.2367 0.7500 0.3191
Cu: 0.7633 0.2500 0.6809
I: 0.0031 0.5064 0.7359
I: 0.9969 0.0064 0.2641
I: 0.9969 0.4936 0.2641
I: 0.0031 0.9936 0.7359
I: 0.4158 0.7500 0.1298
I: 0.5842 0.2500 0.8702
I: 0.4163 0.7500 0.5887
I: 0.5837 0.2500 0.4113

Values from the calculation:
Energy relative to the elements, uncorrected: -0.558 eV per atom
Space-group type: P2_1/m (11)

---

# NaTlCu2I4

A geometry-optimized NaTlCu2I4 structure (PBE-GGA, the Alexandria database).

Unit cell a=7.8387 b=7.3340 c=7.3340 alpha=72.00 beta=57.70 gamma=57.70
Fractional coordinates of all 8 atoms:
Na: 0.5000 0.5000 0.5000
Tl: 0.0000 0.0000 0.0000
Cu: 0.1450 0.3550 0.3550
Cu: 0.8550 0.6450 0.6450
I: 0.4193 0.1273 0.4990
I: 0.0456 0.8727 0.5010
I: 0.9544 0.4990 0.1273
I: 0.5807 0.5010 0.8727

Values from the calculation:
Energy relative to the elements, uncorrected: -0.496 eV per atom
Space-group type: I222 (23)

---

# NaTl2CuI5

A geometry-optimized NaTl2CuI5 structure (PBE-GGA, the Alexandria database).

Unit cell a=4.3983 b=11.0908 c=14.4715 alpha=90.00 beta=90.00 gamma=101.44
Fractional coordinates of all 18 atoms:
Na: 0.8006 0.6012 0.5331
Na: 0.1994 0.3988 0.0331
Tl: 0.8809 0.7618 0.8283
Tl: 0.1358 0.2716 0.6869
Tl: 0.1191 0.2382 0.3283
Tl: 0.8642 0.7284 0.1869
Cu: 0.5623 0.1245 0.9220
Cu: 0.4377 0.8755 0.4220
I: 0.3462 0.6924 0.0082
I: 0.6786 0.3572 0.8751
I: 0.5033 0.0066 0.7663
I: 0.2979 0.5957 0.6888
I: 0.9607 0.9214 0.5152
I: 0.6538 0.3076 0.5082
I: 0.3214 0.6428 0.3751
I: 0.4967 0.9934 0.2663
I: 0.7021 0.4043 0.1888
I: 0.0393 0.0786 0.0152

Values from the calculation:
Energy relative to the elements, uncorrected: -0.579 eV per atom
Space-group type: Cmc2_1 (36)

---

# NaTlCuI3

A geometry-optimized NaTlCuI3 structure (PBE-GGA, the Alexandria database).

Unit cell a=4.4223 b=10.0812 c=10.1109 alpha=103.83 beta=90.00 gamma=90.00
Fractional coordinates of all 12 atoms:
Na: 0.2500 0.6564 0.1418
Na: 0.7500 0.3436 0.8582
Tl: 0.2500 0.1867 0.2089
Tl: 0.7500 0.8133 0.7911
Cu: 0.2500 0.0630 0.5698
Cu: 0.7500 0.9370 0.4302
I: 0.7500 0.8934 0.1547
I: 0.2500 0.1066 0.8453
I: 0.2500 0.7974 0.4791
I: 0.7500 0.2026 0.5209
I: 0.7500 0.4410 0.1809
I: 0.2500 0.5590 0.8191

Values from the calculation:
Energy relative to the elements, uncorrected: -0.673 eV per atom
Space-group type: P2_1/m (11)

---

# Na2TlCuI4

A geometry-optimized Na2TlCuI4 structure (PBE-GGA, the Alexandria database).

Unit cell a=4.4838 b=8.0686 c=16.3772 alpha=90.00 beta=90.00 gamma=106.13
Fractional coordinates of all 16 atoms:
Na: 0.3724 0.7448 0.5570
Na: 0.6276 0.2552 0.0570
Na: 0.6276 0.2552 0.4430
Na: 0.3724 0.7448 0.9430
Tl: 0.1184 0.2369 0.7500
Tl: 0.8816 0.7631 0.2500
Cu: 0.8338 0.6677 0.7500
Cu: 0.1662 0.3323 0.2500
I: 0.2679 0.5359 0.1203
I: 0.7321 0.4641 0.6203
I: 0.7321 0.4641 0.8797
I: 0.2679 0.5359 0.3797
I: 0.0000 0.0000 0.5000
I: 0.0000 0.0000 0.0000
I: 0.4289 0.8577 0.7500
I: 0.5711 0.1423 0.2500

Values from the calculation:
Energy relative to the elements, uncorrected: -0.807 eV per atom
Space-group type: Cmcm (63)

---

# NaUCuI6

A geometry-optimized NaUCuI6 structure (PBE-GGA, the Alexandria database).

Unit cell a=7.4854 b=7.4854 c=13.2578 alpha=90.00 beta=90.00 gamma=82.95
Fractional coordinates of all 18 atoms:
Na: 0.5000 0.5000 0.5156
Na: 0.0000 0.0000 0.9821
U: 0.5000 0.5000 0.1720
U: 0.0000 0.0000 0.6601
Cu: 0.5000 0.5000 0.9068
Cu: 0.0000 0.0000 0.3315
I: 0.1916 0.8084 0.4796
I: 0.8084 0.1916 0.4796
I: 0.3079 0.3079 0.0081
I: 0.6921 0.6921 0.0081
I: 0.1916 0.8084 0.1757
I: 0.8084 0.1916 0.1757
I: 0.2654 0.2654 0.6630
I: 0.7346 0.7346 0.6630
I: 0.7679 0.2321 0.8167
I: 0.2321 0.7679 0.8167
I: 0.6943 0.6943 0.3228
I: 0.3057 0.3057 0.3228

Values from the calculation:
Energy relative to the elements, uncorrected: -0.692 eV per atom
Space-group type: Cmm2 (35)

---

Let's list N(E_F) in order: 1.473 1.169 0.224 0.000 1.034 0.000 0.000 0.864 states/eV/atom.
Let's list volume in order: 36.9 38.6 37.3 37.6 38.4 36.5 35.6 41.0 A^3/atom.
Let's list DFT total energy in order: -8.97 -13.79 -35.77 -22.05 -46.22 -32.94 -43.51 -64.47 eV per cell.